[1]
First-principles (PBE) data for a relaxed structure of Ca2AgH, as listed in Alexandria via LeMat-Bulk.

The space group is C2/m (No. 12) and the conventional cell measures 14.9726, 4.0225 and 7.1152 Å, with angles of 90.00, 118.06 and 90.00 degrees. The asymmetric unit holds Ca at (0.0007, 0.0000, 0.2578), Ca at (0.2023, 0.5000, 0.7039), Ag at (0.1139, 0.5000, 0.1111) and H at (0.1112, 0.0000, 0.6110).

As for the total magnetization: 0.00 μB per cell. The calculation puts the energy above the most stable polymorph in this dataset at 0.05 kJ per mole of atoms. Its total energy is -2.8952 eV per atom.

---

[2]
First-principles (PBE) data for a relaxed structure of ZnGa2Os, as listed in Alexandria via LeMat-Bulk.

The space group is P4/mmm (No. 123) and the conventional cell measures 3.2834, 3.2834 and 5.4619 Å, with angles of 90.00, 90.00 and 90.00 degrees. The asymmetric unit holds Zn at (0.0000, 0.0000, 0.0000), Ga at (0.5000, 0.5000, 0.2520) and Os at (0.0000, 0.0000, 0.5000).

As for the total magnetization: 0.00 μB per cell. Its energy of formation from the pure elements is -0.001 eV per atom. Its total energy is -4.6407 eV per atom.

---

[3]
First-principles (PBE) data for a relaxed structure of TbNi4, as listed in Alexandria via LeMat-Bulk.

The space group is Pm-3m (No. 221) and the conventional cell measures 4.5906, 4.5906 and 4.5906 Å, with angles of 90.00, 90.00 and 90.00 degrees. The asymmetric unit holds Tb at (0.0000, 0.0000, 0.0000), Ni at (0.0000, 0.0000, 0.5000) and Ni at (0.5000, 0.5000, 0.5000).

As for the total magnetization: 0.33 μB per cell. Its energy of formation from the pure elements is 1.539 eV per atom. Its total energy is -4.0116 eV per atom.

---

[4]
First-principles (PBE) data for a relaxed structure of Tl2PtS2, as listed in Alexandria via LeMat-Bulk.

The space group is P4/mbm (No. 127) and the conventional cell measures 6.5388, 6.5388 and 5.4336 Å, with angles of 90.00, 90.00 and 90.00 degrees. The asymmetric unit holds Tl at (0.1743, 0.3257, 0.0000), Pt at (0.0000, 0.0000, 0.5000) and S at (0.1676, 0.6676, 0.5000).

As for the total magnetization: 0.00 μB per cell. Its total energy is -3.8903 eV per atom. Its uncorrected formation energy is -0.08 eV/atom.

---

[5]
First-principles (PBE) data for a relaxed structure of AlCuRu2, as listed in Alexandria via LeMat-Bulk.

The space group is Immm (No. 71) and the conventional cell measures 2.9005, 4.4486 and 8.5370 Å, with angles of 90.00, 90.00 and 90.00 degrees. The asymmetric unit holds Al at (0.0000, 0.0000, 0.0000), Cu at (0.0000, 0.0000, 0.5000) and Ru at (0.0000, 0.5000, 0.2588).

As for the total magnetization: 0.19 μB per cell. Its energy of formation from the pure elements is -0.016 eV per atom. Its total energy is -6.6140 eV per atom.

---

[6]
First-principles (PBE) data for a relaxed structure of MgSc4Cd2, as listed in Alexandria via LeMat-Bulk.

The space group is I4/mmm (No. 139) and the conventional cell measures 5.4143, 5.4143 and 12.1684 Å, with angles of 90.00, 90.00 and 90.00 degrees. The asymmetric unit holds Mg at (0.0000, 0.0000, 0.0000), Sc at (0.0000, 0.5000, 0.0000), Sc at (0.0000, 0.5000, 0.2500) and Cd at (0.0000, 0.0000, 0.3728).

As for the total magnetization: 4.09 μB per cell. The calculation puts the energy above the most stable polymorph in this dataset at 40.10 kJ per mole of atoms. Its energy of formation from the pure elements is 0.287 eV per atom. Its total energy is -3.8200 eV per atom.

---

[7]
First-principles (PBE) data for a relaxed structure of KCd4Hg4, as listed in Alexandria via LeMat-Bulk.

The space group is I4/mmm (No. 139) and the conventional cell measures 10.3491, 10.3491 and 4.4879 Å, with angles of 90.00, 90.00 and 90.00 degrees. The asymmetric unit holds K at (0.0000, 0.0000, 0.0000), Cd at (0.0000, 0.3442, 0.0000) and Hg at (0.1754, 0.1754, 0.5000).

As for the total magnetization: 0.00 μB per cell. Its energy of formation from the pure elements is -0.041 eV per atom. Its total energy is -0.7041 eV per atom.

---

[8]
First-principles (PBE) data for a relaxed structure of BaAsBr2N, as listed in Alexandria via LeMat-Bulk.

The space group is P4/mmm (No. 123) and the conventional cell measures 6.1581, 6.1581 and 3.7223 Å, with angles of 90.00, 90.00 and 90.00 degrees. The asymmetric unit holds Ba at (0.0000, 0.0000, 0.0000), As at (0.5000, 0.5000, 0.0000), Br at (0.0000, 0.5000, 0.5000) and N at (0.5000, 0.5000, 0.5000).

As for the total magnetization: 0.00 μB per cell. The calculation puts the energy above the most stable polymorph in this dataset at 0.00 kJ per mole of atoms. Its total energy is -3.8626 eV per atom. Its uncorrected formation energy is -0.21 eV/atom.